one) DFT (PBE-GGA) results for a relaxed structure of BaScSb2Te.

Magnetization = 0.00 μB/cell
SG = P4/mmm, No. 123
V = 35.0 A^3/atom
Density = 5.2 g/cm3
Crystal system = tetragonal

Cell lengths 5.5454, 5.5454, 5.6961 Å; angles 90.00, 90.00, 90.00 degrees
Element x y z (fractional)
Sc  0.0000  0.0000  0.0000
Sb  0.0000  0.5000  0.0000
Sb  0.5000  0.0000  0.0000
Te  0.0000  0.0000  0.5000
Ba  0.5000  0.5000  0.5000

---

two) DFT (PBE-GGA) results for a relaxed structure of BaScSb2Te.

Magnetization = 0.00 μB/cell
SG = P4/mmm, No. 123
V = 45.1 A^3/atom
Density = 4.1 g/cm3
Crystal system = tetragonal

Cell lengths 6.0214, 6.0214, 6.2138 Å; angles 90.00, 90.00, 90.00 degrees
Element x y z (fractional)
Sc  0.5000  0.5000  0.5000
Sb  0.0000  0.5000  0.0000
Sb  0.5000  0.0000  0.0000
Te  0.0000  0.0000  0.5000
Ba  0.0000  0.0000  0.0000

---

Most stable one: one), least stable one: two).

---

one) DFT (PBE-GGA) results for a relaxed structure of BaScSbTe2.

Magnetization = 0.00 μB/cell
SG = P4/mmm, No. 123
V = 35.5 A^3/atom
Density = 5.2 g/cm3
Crystal system = tetragonal

Cell lengths 5.6699, 5.6699, 5.5273 Å; angles 90.00, 90.00, 90.00 degrees
Element x y z (fractional)
Sc  0.0000  0.0000  0.0000
Sb  0.0000  0.0000  0.5000
Te  0.0000  0.5000  0.0000
Te  0.5000  0.0000  0.0000
Ba  0.5000  0.5000  0.5000

---

two) DFT (PBE-GGA) results for a relaxed structure of BaScSbTe2.

Magnetization = 0.54 μB/cell
SG = P4/mmm, No. 123
V = 47.5 A^3/atom
Density = 3.9 g/cm3
Crystal system = tetragonal

Cell lengths 6.2557, 6.2557, 6.0697 Å; angles 90.00, 90.00, 90.00 degrees
Site moments in Bohr magnetons follow the coordinates.
Element x y z (fractional)
Sc  0.5000  0.5000  0.5000  0.75
Sb  0.0000  0.0000  0.5000  -0.10
Te  0.0000  0.5000  0.0000  -0.05
Te  0.5000  0.0000  0.0000  -0.05
Ba  0.0000  0.0000  0.0000  -0.01

---

Most stable one: one), least stable one: two).

---

one) DFT (PBE-GGA) results for a relaxed structure of Ba2SbSe.

Magnetization = 0.00 μB/cell
SG = F-43m, No. 216
V = 34.0 A^3/atom
Density = 5.8 g/cm3
Crystal system = cubic

Cell lengths 5.7700, 5.7700, 5.7700 Å; angles 60.00, 60.00, 60.00 degrees
Element x y z (fractional)
Ba  0.0000  0.0000  0.0000
Ba  0.2500  0.2500  0.2500
Sb  0.5000  0.5000  0.5000
Se  0.7500  0.7500  0.7500

---

two) DFT (PBE-GGA) results for a relaxed structure of Ba2SbSe.

Magnetization = 0.00 μB/cell
SG = Imm2, No. 44
V = 40.1 A^3/atom
Density = 4.9 g/cm3
Crystal system = orthorhombic

Cell lengths 9.3046, 9.3046, 9.3046 Å; angles 154.15, 152.75, 37.91 degrees
Element x y z (fractional)
Ba  0.0595  0.0595  0.0000
Ba  0.7863  0.2863  0.5000
Sb  0.4483  0.4483  0.0000
Se  0.2059  0.7059  0.5000

---

Most stable one: two), least stable one: one).

---

one) DFT (PBE-GGA) results for a relaxed structure of Ba2SbSe2.

Magnetization = 0.33 μB/cell
SG = I4/mmm, No. 139
V = 36.4 A^3/atom
Density = 5.1 g/cm3
Crystal system = tetragonal

Cell lengths 6.3835, 6.3835, 6.3474 Å; angles 59.81, 59.81, 90.00 degrees
Site moments in Bohr magnetons follow the coordinates.
Element x y z (fractional)
Sb  0.0000  0.0000  0.0000  0.08
Ba  0.7500  0.2500  0.5000  0.01
Ba  0.2500  0.7500  0.5000  0.01
Se  0.3274  0.3274  0.3452  0.02
Se  0.6726  0.6726  0.6548  0.02

---

two) DFT (PBE-GGA) results for a relaxed structure of Ba2SbSe2.

Magnetization = 0.00 μB/cell
SG = P4/mbm, No. 127
V = 33.2 A^3/atom
Density = 5.5 g/cm3
Crystal system = tetragonal

Cell lengths 8.6225, 8.6225, 4.4670 Å; angles 90.00, 90.00, 90.00 degrees
Element x y z (fractional)
Sb  0.0000  0.0000  0.0000
Sb  0.5000  0.5000  0.0000
Ba  0.1590  0.6590  0.5000
Ba  0.6590  0.8410  0.5000
Ba  0.8410  0.3410  0.5000
Ba  0.3410  0.1590  0.5000
Se  0.3447  0.8447  0.0000
Se  0.8447  0.6553  0.0000
Se  0.6553  0.1553  0.0000
Se  0.1553  0.3447  0.0000

---

Most stable one: two), least stable one: one).